Below is an optimized crystal structure of TaMn2SO, with properties calculated at the PBE+U level.

- total energy (eV/atom) = -7.240
- density of states at the Fermi level (states/eV per cell) = 3.79

Cell: 4.484 4.484 4.039 Å, 90.00 90.00 90.00°
Positions (direct):
Ta (0.000, 0.000, 0.000)
Mn (0.000, 0.500, 0.500)
Mn (0.500, 0.000, 0.500)
S (0.500, 0.500, 0.000)
O (0.000, 0.000, 0.500)